No. 1
The following is a DFT calculation (PBE) of a geometry-optimized PaAg3I2Br6 structure.

The final energy is -3.420 eV per atom. The space group is C2/m, No. 12.

abc: 9.008 9.008 7.073
angles: 106.53 106.53 55.35
Element x y z (fractional)
Pa 0.000 0.000 0.000
Ag 0.000 0.500 0.000
Ag 0.500 0.000 0.000
Ag 0.500 0.500 0.500
I 0.330 0.330 0.251
I 0.670 0.670 0.749
Br 0.110 0.110 0.769
Br 0.134 0.668 0.764
Br 0.332 0.866 0.236
Br 0.668 0.134 0.764
Br 0.866 0.332 0.236
Br 0.890 0.890 0.231

No. 2
The following is a DFT calculation (PBE) of a geometry-optimized PaAgI2Br4 structure.

The final energy is -3.655 eV per atom. The space group is I-4, No. 82.

abc: 11.593 11.593 5.871
angles: 90.00 90.00 90.00
Element x y z (fractional)
Pa 0.000 0.000 0.000
Pa 0.500 0.500 0.500
Ag 0.000 0.500 0.750
Ag 0.500 0.000 0.250
I 0.000 0.000 0.500
I 0.000 0.500 0.250
I 0.500 0.000 0.750
I 0.500 0.500 0.000
Br 0.145 0.821 0.994
Br 0.179 0.145 0.006
Br 0.321 0.355 0.506
Br 0.355 0.679 0.494
Br 0.645 0.321 0.494
Br 0.679 0.645 0.506
Br 0.821 0.855 0.006
Br 0.855 0.179 0.994

No. 3
The following is a DFT calculation (PBE) of a geometry-optimized AgPb3I2Br6 structure.

Its density of states at the Fermi level is 0.606 states/eV per atom. The final energy is -2.892 eV per atom. The space group is C2/m, No. 12.

abc: 8.680 8.680 6.928
angles: 93.77 93.77 60.76
Element x y z (fractional)
Ag 0.000 0.000 0.000
Pb 0.000 0.500 0.000
Pb 0.500 0.000 0.000
Pb 0.500 0.500 0.500
I 0.308 0.308 0.685
I 0.692 0.692 0.315
Br 0.154 0.154 0.215
Br 0.180 0.678 0.236
Br 0.322 0.820 0.764
Br 0.678 0.180 0.236
Br 0.820 0.322 0.764
Br 0.846 0.846 0.785